First-principles (meta-GGA SCAN) data for V6O7F5 at its PBEsol-relaxed geometry, as listed in the Alexandria database.

Cell: 6.7148 6.3912 8.8181 Å, 90.00 90.59 90.00°
Space group C2 (No. 5)
Inequivalent atoms, fractional coordinates:
V1 0.0000 0.0000 0.0000 x2
V2 0.0000 0.4718 0.5000 x2
V3 0.0091 0.5044 0.8248 x4
V4 0.0319 0.0108 0.3201 x4
O1 0.0000 0.1791 0.5000 x2
O2 0.0040 0.7992 0.1663 x4
O3 0.0071 0.2059 0.1645 x4
O4 0.1927 0.4983 0.6651 x4
F1 0.0000 0.7948 0.5000 x2
F2 0.2009 0.5025 0.0011 x4
F3 0.2071 0.4952 0.3354 x4

Values from the calculation:
As for the density: 4.50 g cm⁻³. As for the total magnetic moment: 11.000 μB/f.u. The density of states at the Fermi level is 0.38 states/eV per atom. As for the energy above the most stable polymorph in this dataset: 6 meV/atom. The calculation puts the energy at -0.4453 Ha/atom.

=====

First-principles (meta-GGA SCAN) data for TiTeN3 at its PBEsol-relaxed geometry, as listed in the Alexandria database.

Cell: 3.9036 3.9036 3.9036 Å, 90.00 90.00 90.00°
Space group Pm-3m (No. 221)
Inequivalent atoms, fractional coordinates:
Ti1 0.0000 0.0000 0.0000 x1
Te1 0.5000 0.5000 0.5000 x1
N1 0.0000 0.5000 0.5000 x3

Values from the calculation:
As for the density: 6.07 g cm⁻³. As for the total magnetic moment: 0.799 μB/f.u. The density of states at the Fermi level is 0.65 states/eV per atom. The calculation puts the energy at -0.5588 Ha/atom.

=====

First-principles (meta-GGA SCAN) data for Rb2TlSnSb at its PBEsol-relaxed geometry, as listed in the Alexandria database.

Cell: 6.7303 6.7303 5.6554 Å, 90.00 90.00 90.00°
Space group P4/mmm (No. 123)
Inequivalent atoms, fractional coordinates:
Rb1 0.0000 0.5000 0.0000 x2
Tl1 0.0000 0.0000 0.5000 x1
Sn1 0.5000 0.5000 0.0000 x1
Sb1 0.5000 0.5000 0.5000 x1

Values from the calculation:
As for the density: 3.99 g cm⁻³. As for the total magnetic moment: 0.000 μB/f.u. The density of states at the Fermi level is 0.93 states/eV per atom. The calculation puts the energy at -1.3677 Ha/atom.

=====

First-principles (meta-GGA SCAN) data for BaScCO2 at its PBEsol-relaxed geometry, as listed in the Alexandria database.

Cell: 4.1869 4.1869 4.3838 Å, 90.00 90.00 90.00°
Space group P4/mmm (No. 123)
Inequivalent atoms, fractional coordinates:
Ba1 0.0000 0.0000 0.0000 x1
Sc1 0.5000 0.5000 0.5000 x1
C1 0.5000 0.5000 0.0000 x1
O1 0.0000 0.5000 0.5000 x2

Values from the calculation:
As for the density: 4.89 g cm⁻³. As for the total magnetic moment: 2.650 μB/f.u. The density of states at the Fermi level is 0.47 states/eV per atom. The calculation puts the energy at -0.6178 Ha/atom.

=====

First-principles (meta-GGA SCAN) data for Cr8Ir at its PBEsol-relaxed geometry, as listed in the Alexandria database.

Cell: 8.5557 8.5557 2.8357 Å, 90.00 90.00 90.00°
Space group I4/mmm (No. 139)
Inequivalent atoms, fractional coordinates:
Cr1 0.0000 0.3353 0.0000 x8
Cr2 0.1753 0.1753 0.5000 x8
Ir1 0.0000 0.0000 0.0000 x2

Values from the calculation:
As for the density: 9.73 g cm⁻³. As for the total magnetic moment: 0.000 μB/f.u. The density of states at the Fermi level is 0.81 states/eV per atom. The value obtained for the formation energy is -0.16 eV/f.u. The calculation puts the energy at -0.8915 Ha/atom.

=====

First-principles (meta-GGA SCAN) data for Ba7Sr5Mo4N16 at its PBEsol-relaxed geometry, as listed in the Alexandria database.

Cell: 9.9356 10.5498 11.9378 Å, 90.00 90.13 90.00°
Space group P2_1 (No. 4)
Inequivalent atoms, fractional coordinates:
Ba1 0.0522 0.0000 0.3801 x2
Ba2 0.0553 0.5017 0.1157 x2
Ba3 0.1216 0.8012 0.6443 x2
Ba4 0.3758 0.7442 0.3514 x2
Ba5 0.3785 0.2452 0.1472 x2
Ba6 0.4380 0.0454 0.8852 x2
Ba7 0.4429 0.5444 0.6146 x2
Sr1 0.1268 0.3063 0.8628 x2
Sr2 0.2178 0.3958 0.3943 x2
Sr3 0.2175 0.8977 0.1048 x2
Sr4 0.2823 0.1489 0.6058 x2
Sr5 0.2819 0.6483 0.8966 x2
Mo1 0.0439 0.6763 0.3817 x2
Mo2 0.0479 0.1751 0.1115 x2
Mo3 0.4487 0.3685 0.8845 x2
Mo4 0.4523 0.8683 0.6153 x2
N1 0.0499 0.5409 0.8276 x2
N2 0.0555 0.0467 0.6827 x2
N3 0.0683 0.7788 0.9703 x2
N4 0.0716 0.2784 0.5345 x2
N5 0.1210 0.7783 0.2724 x2
N6 0.1255 0.2745 0.2227 x2
N7 0.1768 0.6135 0.4783 x2
N8 0.1801 0.1160 0.0135 x2
N9 0.3195 0.4319 0.9829 x2
N10 0.3220 0.9318 0.5174 x2
N11 0.3630 0.2668 0.7793 x2
N12 0.3716 0.7647 0.7218 x2
N13 0.4301 0.2670 0.4670 x2
N14 0.4323 0.7655 0.0350 x2
N15 0.4480 0.4964 0.3169 x2
N16 0.4505 0.9961 0.1826 x2

Values from the calculation:
As for the density: 5.33 g cm⁻³. As for the total magnetic moment: 0.000 μB/f.u. The density of states at the Fermi level is 0.00 states/eV per atom. The calculation puts the energy at -0.8181 Ha/atom.